Entry 1:
The following is a GGA-PBEsol calculation of a geometry-optimized Ba2SiRh structure, from the Alexandria database.

Calculated values
SG	R3m
total energy	-5.026	eV per atom
formation energy without anion corrections	-0.480	eV per atom
density	4.942	Mg/m³

```
Ba2SiRh
1.0
-2.290 -1.220 3.338
1.661 -2.644 2.851
2.831 5.578 6.659
Si Rh Ba
1 1 2
Direct
0.208 0.208 0.375 Si
0.542 0.542 0.375 Rh
0.958 0.958 0.125 Ba
0.792 0.792 0.625 Ba
```


Entry 2:
The following is a GGA-PBEsol calculation of a geometry-optimized Ba2SiRh structure, from the Alexandria database.

Calculated values
SG	Imm2
total energy	-4.915	eV per atom
formation energy without anion corrections	-0.370	eV per atom
density	6.038	Mg/m³

```
Ba2SiRh
1.0
3.951 0.000 0.000
0.000 5.459 0.000
-1.975 -2.730 5.172
Ba Rh Si
2 1 1
Direct
0.966 0.466 0.931 Ba
0.777 0.777 0.555 Ba
0.574 0.074 0.148 Rh
0.183 0.183 0.366 Si
```


Entry 3:
The following is a GGA-PBEsol calculation of a geometry-optimized Ba2SiRh structure, from the Alexandria database.

Calculated values
SG	F-43m
total energy	-4.452	eV per atom
formation energy without anion corrections	0.094	eV per atom
density	6.791	Mg/m³

```
Ba2SiRh
1.0
5.196 0.000 0.000
2.598 4.500 0.000
2.598 1.500 4.242
Ba Rh Si
2 1 1
Direct
0.000 0.000 0.000 Ba
0.750 0.750 0.750 Ba
0.500 0.500 0.500 Rh
0.250 0.250 0.250 Si
```


Entry 4:
The following is a GGA-PBEsol calculation of a geometry-optimized BaSi9Rh2 structure, from the Alexandria database.

Calculated values
SG	C2/c
total energy	-6.300	eV per atom
formation energy without anion corrections	-0.454	eV per atom
density	4.823	Mg/m³

```
BaSi9Rh2
1.0
-4.752 -3.816 1.125
2.810 -1.907 5.198
-7.278 5.814 6.046
Ba Si Rh
2 18 4
Direct
0.687 0.750 0.627 Ba
0.313 0.250 0.373 Ba
0.160 0.525 0.680 Si
0.159 0.975 0.680 Si
0.840 0.475 0.320 Si
0.841 0.025 0.320 Si
0.567 0.753 0.317 Si
0.115 0.747 0.317 Si
0.433 0.247 0.683 Si
0.885 0.253 0.683 Si
0.826 0.611 0.090 Si
0.085 0.889 0.090 Si
0.174 0.389 0.910 Si
0.915 0.111 0.910 Si
0.416 0.889 0.911 Si
0.673 0.611 0.911 Si
0.584 0.111 0.089 Si
0.327 0.389 0.089 Si
0.251 0.750 0.499 Si
0.749 0.250 0.501 Si
0.069 0.750 0.862 Rh
0.931 0.250 0.138 Rh
0.432 0.750 0.135 Rh
0.568 0.250 0.865 Rh
```


Entry 5:
The following is a GGA-PBEsol calculation of a geometry-optimized Ba2SiRh structure, from the Alexandria database.

Calculated values
SG	Pmmm
total energy	-4.458	eV per atom
formation energy without anion corrections	0.088	eV per atom
density	6.218	Mg/m³

```
Ba2SiRh
1.0
3.943 0.000 0.030
0.000 4.036 0.000
-0.057 0.000 6.806
Ba Rh Si
2 1 1
Direct
0.001 0.000 0.758 Ba
0.999 0.000 0.242 Ba
0.500 0.500 0.000 Rh
0.500 0.500 0.500 Si
```


Entry 6:
The following is a GGA-PBEsol calculation of a geometry-optimized Ba3SiRh structure, from the Alexandria database.

Calculated values
SG	Pm-3m
total energy	-3.991	eV per atom
formation energy without anion corrections	0.075	eV per atom
density	4.842	Mg/m³

```
Ba3SiRh
1.0
-4.146 3.465 1.849
-1.573 -3.929 3.834
3.598 2.274 3.807
Si Rh Ba
1 1 3
Direct
0.500 0.500 0.500 Si
0.000 0.000 0.000 Rh
0.000 0.500 0.000 Ba
0.000 0.000 0.500 Ba
0.500 0.000 0.000 Ba
```


Entry 7:
The following is a GGA-PBEsol calculation of a geometry-optimized BaSi3Rh structure, from the Alexandria database.

Calculated values
SG	Pm-3m
total energy	-3.088	eV per atom
formation energy without anion corrections	2.418	eV per atom
density	3.769	Mg/m³

```
BaSi3Rh
1.0
-1.013 3.720 -3.532
1.861 -3.089 -3.786
-4.780 -1.991 -0.726
Si Rh Ba
3 1 1
Direct
0.000 0.500 0.000 Si
0.000 0.000 0.500 Si
0.500 0.000 0.000 Si
0.500 0.500 0.500 Rh
0.000 0.000 0.000 Ba
```


Entry 8:
The following is a GGA-PBEsol calculation of a geometry-optimized BaY2SnRh structure, from the Alexandria database.

Calculated values
SG	P4/mmm
total energy	-3.963	eV per atom
density	5.353	Mg/m³

```
BaY2SnRh
1.0
5.446 0.000 0.000
0.000 5.446 0.000
0.000 0.000 5.614
Y Rh Ba Sn
2 1 1 1
Direct
0.000 0.500 0.000 Y
0.500 0.000 0.000 Y
0.500 0.500 0.500 Rh
0.000 0.000 0.000 Ba
0.000 0.000 0.500 Sn
```